DFT (GGA-PBE) results for a relaxed structure of TaZnCuGe.

abc: 4.464 4.464 4.464
angles: 60.00 60.00 60.00
Fractional positions:
Ta  0.000  0.000  0.000
Zn  0.250  0.250  0.250
Cu  0.750  0.750  0.750
Ge  0.500  0.500  0.500

E_tot = -19.4 eV/cell
size of the total moment = 0.16 μB/f.u.
SG = F-43m (216)
density = 10.10 g/cm³
offset from the most stable computed form = 219 meV/atom



DFT (GGA-PBE) results for a relaxed structure of TbCuGe.

abc: 4.402 4.402 4.402
angles: 60.00 60.00 60.00
Fractional positions:
Tb  0.000  0.000  0.000
Cu  0.750  0.750  0.750
Ge  0.500  0.500  0.500

E_tot = -14.7 eV/cell
size of the total moment = 0.00 μB/f.u.
SG = F-43m (216)
density = 8.13 g/cm³



DFT (GGA-PBE) results for a relaxed structure of TbCuGe.

abc: 6.895 6.895 4.151
angles: 90.00 90.00 120.00
Fractional positions:
Tb  0.000  0.580  0.000
Tb  0.420  0.420  0.000
Tb  0.580  0.000  0.000
Cu  0.000  0.242  0.500
Cu  0.242  0.000  0.500
Cu  0.758  0.758  0.500
Ge  0.000  0.000  0.000
Ge  0.333  0.667  0.500
Ge  0.667  0.333  0.500

E_tot = -44.7 eV/cell
size of the total moment = 0.00 μB/f.u.
SG = P-62m (189)
density = 8.60 g/cm³



DFT (GGA-PBE) results for a relaxed structure of TbCuGeTe3.

abc: 7.424 7.424 11.118
angles: 90.00 90.00 147.63
Fractional positions:
Tb  0.000  0.000  0.000
Tb  0.000  0.000  0.500
Cu  0.475  0.525  0.750
Cu  0.525  0.475  0.250
Ge  0.220  0.780  0.250
Ge  0.780  0.220  0.750
Te  0.094  0.906  0.750
Te  0.350  0.650  0.573
Te  0.350  0.650  0.927
Te  0.650  0.350  0.073
Te  0.650  0.350  0.427
Te  0.906  0.094  0.250

E_tot = -51.4 eV/cell
size of the total moment = 0.00 μB/f.u.
SG = Cmcm (63)
density = 6.86 g/cm³
offset from the most stable computed form = 15 meV/atom



DFT (GGA-PBE) results for a relaxed structure of TbCuGeTe3.

abc: 12.364 4.366 12.571
angles: 90.00 90.00 90.00
Fractional positions:
Tb  0.032  0.250  0.191
Tb  0.468  0.750  0.691
Tb  0.532  0.250  0.309
Tb  0.968  0.750  0.809
Cu  0.230  0.750  0.289
Cu  0.270  0.250  0.789
Cu  0.730  0.750  0.211
Cu  0.770  0.250  0.711
Ge  0.223  0.250  0.411
Ge  0.277  0.750  0.911
Ge  0.723  0.250  0.089
Ge  0.777  0.750  0.589
Te  0.038  0.750  0.368
Te  0.101  0.250  0.941
Te  0.213  0.750  0.688
Te  0.287  0.250  0.188
Te  0.399  0.750  0.441
Te  0.462  0.250  0.868
Te  0.538  0.750  0.132
Te  0.601  0.250  0.559
Te  0.713  0.750  0.812
Te  0.787  0.250  0.312
Te  0.899  0.750  0.059
Te  0.962  0.250  0.632

E_tot = -103.1 eV/cell
size of the total moment = 0.00 μB/f.u.
SG = Pnma (62)
density = 6.64 g/cm³
offset from the most stable computed form = 0 meV/atom



DFT (GGA-PBE) results for a relaxed structure of Tb2TmCu4Ge4.

abc: 8.004 8.004 8.004
angles: 149.49 131.02 58.81
Fractional positions:
Tb  0.130  0.130  0.000
Tb  0.870  0.870  0.000
Tm  0.500  0.000  0.500
Cu  0.141  0.331  0.810
Cu  0.479  0.669  0.810
Cu  0.521  0.331  0.190
Cu  0.859  0.669  0.190
Ge  0.194  0.500  0.694
Ge  0.284  0.784  0.500
Ge  0.716  0.216  0.500
Ge  0.806  0.500  0.306

E_tot = -54.0 eV/cell
size of the total moment = 0.00 μB/f.u.
SG = Immm (71)
density = 8.79 g/cm³



DFT (GGA-PBE) results for a relaxed structure of TbTmCu2Ge2.

abc: 4.237 4.237 7.274
angles: 90.00 90.00 120.00
Fractional positions:
Tb  0.000  0.000  0.000
Tm  0.000  0.000  0.501
Cu  0.333  0.667  0.236
Cu  0.667  0.333  0.721
Ge  0.333  0.667  0.765
Ge  0.667  0.333  0.274

E_tot = -29.9 eV/cell
size of the total moment = 0.00 μB/f.u.
SG = P3m1 (156)
density = 8.82 g/cm³



DFT (GGA-PBE) results for a relaxed structure of TbY2Cu4Ge4.

abc: 8.016 8.016 8.016
angles: 149.55 130.89 58.89
Fractional positions:
Tb  0.000  0.000  0.000
Y  0.370  0.870  0.500
Y  0.630  0.130  0.500
Cu  0.021  0.331  0.690
Cu  0.360  0.669  0.690
Cu  0.640  0.331  0.310
Cu  0.979  0.669  0.310
Ge  0.217  0.217  0.000
Ge  0.308  0.500  0.808
Ge  0.692  0.500  0.192
Ge  0.783  0.783  0.000

E_tot = -57.9 eV/cell
size of the total moment = 0.01 μB/f.u.
SG = Immm (71)
density = 7.48 g/cm³



DFT (GGA-PBE) results for a relaxed structure of CuTcGe2.

abc: 4.426 4.426 4.426
angles: 60.00 60.00 60.00
Fractional positions:
Cu  0.000  0.000  0.000
Tc  0.750  0.750  0.750
Ge  0.250  0.250  0.250
Ge  0.500  0.500  0.500

E_tot = -21.5 eV/cell
size of the total moment = 0.33 μB/f.u.
SG = F-43m (216)
density = 8.31 g/cm³



DFT (GGA-PBE) results for a relaxed structure of CuTc2Ge.

abc: 4.294 4.294 4.294
angles: 60.00 60.00 60.00
Fractional positions:
Cu  0.000  0.000  0.000
Tc  0.250  0.250  0.250
Tc  0.500  0.500  0.500
Ge  0.750  0.750  0.750

E_tot = -28.4 eV/cell
size of the total moment = 0.00 μB/f.u.
SG = F-43m (216)
density = 9.85 g/cm³



DFT (GGA-PBE) results for a relaxed structure of CuTcGe.

abc: 4.048 4.048 4.048
angles: 60.00 60.00 60.00
Fractional positions:
Cu  0.000  0.000  0.000
Tc  0.500  0.500  0.500
Ge  0.250  0.250  0.250

E_tot = -18.0 eV/cell
size of the total moment = 0.00 μB/f.u.
SG = F-43m (216)
density = 8.29 g/cm³
offset from the most stable computed form = 0 meV/atom



DFT (GGA-PBE) results for a relaxed structure of ZnCuTcGe.

abc: 4.282 4.282 4.282
angles: 60.00 60.00 60.00
Fractional positions:
Zn  0.000  0.000  0.000
Cu  0.750  0.750  0.750
Tc  0.250  0.250  0.250
Ge  0.500  0.500  0.500

E_tot = -19.5 eV/cell
size of the total moment = 0.00 μB/f.u.
SG = F-43m (216)
density = 8.96 g/cm³
offset from the most stable computed form = 0 meV/atom